Compound: NdIn4Cl6
Source: Alexandria via LeMat-Bulk
Functional: PBE
Structure: relaxed

abc: 8.4300 8.4300 10.9772
angles: 90.00 90.00 90.00
Element x y z (fractional)
Nd: 0.5000 0.5000 0.0000
Nd: 0.0000 0.0000 0.5000
In: 0.3480 0.1520 0.2500
In: 0.1520 0.6520 0.7500
In: 0.6520 0.8480 0.7500
In: 0.8480 0.3480 0.7500
In: 0.3480 0.1520 0.7500
In: 0.1520 0.6520 0.2500
In: 0.8480 0.3480 0.2500
In: 0.6520 0.8480 0.2500
Cl: 0.2562 0.7993 0.5000
Cl: 0.7562 0.7007 0.0000
Cl: 0.7007 0.2438 0.0000
Cl: 0.2007 0.2562 0.5000
Cl: 0.0000 0.0000 0.2482
Cl: 0.5000 0.5000 0.2518
Cl: 0.2993 0.7562 0.0000
Cl: 0.0000 0.0000 0.7518
Cl: 0.2438 0.2993 0.0000
Cl: 0.5000 0.5000 0.7482
Cl: 0.7993 0.7438 0.5000
Cl: 0.7438 0.2007 0.5000

Values from the calculation:
Spin magnetization = 0.00 μB/f.u.
Electronic total energy = -3.579 eV/atom
SG = P4/mnc
Uncorrected formation energy = -1212 kJ/mol of formula units
Calculated volume = 780 Å³ per cell